Entry 1:
{
  "formula": "ZnCo3Ge",
  "functional": "GGA-PBE",
  "state": "optimized geometry",
  "e_tot_ev_per_atom": -5.08,
  "space_group": "Cmcm, No. 63",
  "de_polymorph_kj_per_mol_atoms": 0.0,
  "n_ef_per_ev_atom": 0.954,
  "total_magnetization_mub_per_atom": 0.728,
  "e_form_ev_per_atom": 0.360,
  "lattice_angstrom": [[-1.319, -3.727, -2.259], [1.713, -3.225, 4.320], [-5.411, 1.313, 0.995]],
  "species": ["Co", "Zn", "Ge", "Co", "Zn", "Co", "Co", "Ge", "Co", "Co"],
  "fractional_positions": [[0.750, 0.629, 0.738], [0.000, 0.000, 0.000], [0.750, 0.678, 0.322], [0.250, 0.371, 0.262], [0.500, 0.000, 0.000], [0.250, 0.738, 0.629], [0.250, 0.765, 0.235], [0.250, 0.322, 0.678], [0.750, 0.262, 0.371], [0.750, 0.235, 0.765]]
}

Entry 2:
{
  "formula": "ZrCoGe2",
  "functional": "GGA-PBE",
  "state": "optimized geometry",
  "e_tot_ev_per_atom": -6.77,
  "space_group": "P4/nmm, No. 129",
  "n_ef_per_ev_atom": 0.541,
  "total_magnetization_mub_per_atom": 0.000,
  "e_form_ev_per_atom": -0.546,
  "lattice_angstrom": [[-1.274, -2.789, 2.276], [3.456, -1.621, -0.052], [2.351, 4.784, 7.177]],
  "species": ["Co", "Ge", "Zr", "Co", "Ge", "Ge", "Ge", "Zr"],
  "fractional_positions": [[0.500, 0.500, 0.000], [0.500, 0.000, 0.158], [0.000, 0.500, 0.252], [0.000, 0.000, 0.000], [0.500, 0.500, 0.500], [0.000, 0.500, 0.842], [0.000, 0.000, 0.500], [0.500, 0.000, 0.748]]
}

Entry 3:
{
  "formula": "ZrCoGe2",
  "functional": "GGA-PBE",
  "state": "optimized geometry",
  "e_tot_ev_per_atom": -6.24,
  "space_group": "I-42d, No. 122",
  "n_ef_per_ev_atom": 0.936,
  "total_magnetization_mub_per_atom": 0.000,
  "e_form_ev_per_atom": -0.018,
  "lattice_angstrom": [[-3.096, 2.547, 0.132], [-1.652, -1.845, -3.155], [-6.637, -5.112, 3.914]],
  "species": ["Ge", "Ge", "Ge", "Co", "Zr", "Zr", "Ge", "Co"],
  "fractional_positions": [[0.875, 0.816, 0.750], [0.184, 0.625, 0.250], [0.566, 0.125, 0.250], [0.500, 0.500, 0.000], [0.000, 0.000, 0.000], [0.750, 0.250, 0.500], [0.375, 0.434, 0.750], [0.250, 0.750, 0.500]]
}

Entry 4:
{
  "formula": "ZrCoGe3",
  "functional": "GGA-PBE",
  "state": "optimized geometry",
  "e_tot_ev_per_atom": -6.36,
  "space_group": "Pbcm, No. 57",
  "n_ef_per_ev_atom": 0.513,
  "total_magnetization_mub_per_atom": 0.000,
  "e_form_ev_per_atom": -0.462,
  "lattice_angstrom": [[-1.947, 4.826, 1.208], [-3.687, -2.305, 3.267], [7.255, 0.745, 8.711]],
  "species": ["Zr", "Ge", "Co", "Co", "Ge", "Co", "Ge", "Ge", "Ge", "Ge", "Ge", "Ge", "Zr", "Ge", "Ge", "Co", "Zr", "Ge", "Ge", "Zr"],
  "fractional_positions": [[0.750, 0.502, 0.694], [0.750, 0.893, 0.059], [0.000, 0.250, 0.105], [0.500, 0.750, 0.895], [0.750, 0.519, 0.226], [0.500, 0.250, 0.105], [0.750, 0.019, 0.774], [0.250, 0.481, 0.774], [0.000, 0.750, 0.501], [0.250, 0.607, 0.059], [0.500, 0.250, 0.499], [0.250, 0.981, 0.226], [0.250, 0.498, 0.306], [0.250, 0.107, 0.941], [0.500, 0.750, 0.501], [0.000, 0.750, 0.895], [0.250, 0.998, 0.694], [0.750, 0.393, 0.941], [0.000, 0.250, 0.499], [0.750, 0.002, 0.306]]
}